Record 1
Material: PmTl2Hg2Te4
Method: DFT, PBE
State: relaxed

Symmetry   C2/m (12)
Formation energy (no corrections)   -0.48 eV/atom

CIF file:
```
data_PmTl2Hg2Te4
_symmetry_space_group_name_H-M 'P 1'
_symmetry_Int_Tables_number 1
_cell_length_a 8.5220
_cell_length_b 8.5220
_cell_length_c 8.5318
_cell_angle_alpha 106.54
_cell_angle_beta 106.54
_cell_angle_gamma 30.84
loop_
_symmetry_equiv_pos_as_xyz
'x,y,z'
loop_
_atom_site_label
_atom_site_fract_x
_atom_site_fract_y
_atom_site_fract_z
Pm1 0.0000 0.0000 0.0000
Tl1 0.1302 0.1302 0.5565
Tl2 0.8698 0.8698 0.4435
Hg1 0.3366 0.3366 0.0215
Hg2 0.6634 0.6634 0.9785
Te1 0.2055 0.2055 0.2104
Te2 0.4981 0.4981 0.7336
Te3 0.5019 0.5019 0.2664
Te4 0.7945 0.7945 0.7896
```

Record 2
Material: Pm3ThHg6
Method: DFT, PBE
State: relaxed

Energy of formation from the pure elements   -0.373 eV per atom
Symmetry   P2_1/m (11)

CIF file:
```
data_Pm3ThHg6
_symmetry_space_group_name_H-M 'P 1'
_symmetry_Int_Tables_number 1
_cell_length_a 9.4496
_cell_length_b 5.2542
_cell_length_c 11.3777
_cell_angle_alpha 90.00
_cell_angle_beta 107.37
_cell_angle_gamma 90.00
loop_
_symmetry_equiv_pos_as_xyz
'x,y,z'
loop_
_atom_site_label
_atom_site_fract_x
_atom_site_fract_y
_atom_site_fract_z
Pm1 0.0098 0.2500 0.3873
Pm2 0.1499 0.7500 0.2016
Pm3 0.2715 0.2500 0.9951
Pm4 0.7285 0.7500 0.0049
Pm5 0.8501 0.2500 0.7984
Pm6 0.9902 0.7500 0.6127
Th1 0.4329 0.2500 0.6161
Th2 0.5671 0.7500 0.3839
Hg1 0.0361 0.7500 0.9075
Hg2 0.1480 0.2500 0.7081
Hg3 0.2571 0.7500 0.4891
Hg4 0.3416 0.2500 0.3134
Hg5 0.3580 0.7500 0.7982
Hg6 0.4390 0.7500 0.0945
Hg7 0.5610 0.2500 0.9055
Hg8 0.6420 0.2500 0.2018
Hg9 0.6584 0.7500 0.6866
Hg10 0.7429 0.2500 0.5109
Hg11 0.8520 0.7500 0.2918
Hg12 0.9639 0.2500 0.0925
```

Record 3
Material: PmThHg5
Method: DFT, PBE
State: relaxed

Energy of formation from the pure elements   -0.190 eV per atom
Symmetry   P4/mmm (123)

CIF file:
```
data_PmThHg5
_symmetry_space_group_name_H-M 'P 1'
_symmetry_Int_Tables_number 1
_cell_length_a 5.1158
_cell_length_b 5.1158
_cell_length_c 7.3811
_cell_angle_alpha 90.00
_cell_angle_beta 90.00
_cell_angle_gamma 90.00
loop_
_symmetry_equiv_pos_as_xyz
'x,y,z'
loop_
_atom_site_label
_atom_site_fract_x
_atom_site_fract_y
_atom_site_fract_z
Pm1 0.0000 0.0000 0.0000
Th1 0.5000 0.5000 0.5000
Hg1 0.0000 0.0000 0.5000
Hg2 0.0000 0.5000 0.2347
Hg3 0.0000 0.5000 0.7653
Hg4 0.5000 0.0000 0.2347
Hg5 0.5000 0.0000 0.7653
```

Record 4
Material: PmThHg3
Method: DFT, PBE
State: relaxed

Energy of formation from the pure elements   -0.324 eV per atom
Symmetry   Cmcm (63)
Polymorph energy (0 for the lowest one)   0 meV/atom

CIF file:
```
data_PmThHg3
_symmetry_space_group_name_H-M 'P 1'
_symmetry_Int_Tables_number 1
_cell_length_a 15.1316
_cell_length_b 15.1316
_cell_length_c 4.9480
_cell_angle_alpha 90.00
_cell_angle_beta 90.00
_cell_angle_gamma 166.39
loop_
_symmetry_equiv_pos_as_xyz
'x,y,z'
loop_
_atom_site_label
_atom_site_fract_x
_atom_site_fract_y
_atom_site_fract_z
Pm1 0.0734 0.9266 0.7500
Pm2 0.9266 0.0734 0.2500
Th1 0.2144 0.7856 0.2500
Th2 0.7856 0.2144 0.7500
Hg1 0.3263 0.6737 0.2500
Hg2 0.3808 0.6192 0.7500
Hg3 0.4764 0.5236 0.7500
Hg4 0.5236 0.4764 0.2500
Hg5 0.6192 0.3808 0.2500
Hg6 0.6737 0.3263 0.7500
```